## w
This record from Alexandria via LeMat-Bulk describes a geometry-optimized TmSb3 structure. The functional is PBE.

Results
V   30.11 A^3/atom
Crystal system   orthorhombic

Cell: 4.360 6.162 4.483 Å, 90.00 90.00 90.00°
Space group Pmm2 (No. 25)
One atom of each set of equivalent atoms:
Tm (0.000, 0.000, 0.000)
Sb (0.000, 0.500, 0.899)
Sb (0.500, 0.000, 0.489)
Sb (0.500, 0.500, 0.334)

=====

## x
This record from Alexandria via LeMat-Bulk describes a geometry-optimized TmSb3 structure. The functional is PBE.

Results
V   26.74 A^3/atom
Crystal system   tetragonal

Cell: 4.444 4.444 10.831 Å, 90.00 90.00 90.00°
Space group I4/mmm (No. 139)
One atom of each set of equivalent atoms:
Tm (0.000, 0.000, 0.000)
Sb (0.000, 0.000, 0.500)
Sb (0.000, 0.500, 0.250)

=====

## y
This record from Alexandria via LeMat-Bulk describes a geometry-optimized TmSb3 structure. The functional is PBE.

Results
V   26.79 A^3/atom
Crystal system   hexagonal

Cell: 6.5830 6.5830 5.7101 Å, 90.00 90.00 120.00°
Space group P6_3/mmc (No. 194)
One atom of each set of equivalent atoms:
Tm (0.3333, 0.6667, 0.2500)
Sb (0.1754, 0.3507, 0.7500)

=====

Winner for stability: w

=====

## w
This record from Alexandria via LeMat-Bulk describes a geometry-optimized YTm2Sb structure. The functional is PBE.

Results
V   26.83 A^3/atom
Crystal system   tetragonal

Cell: 4.741 4.741 4.774 Å, 90.00 90.00 90.00°
Space group P4/mmm (No. 123)
One atom of each set of equivalent atoms:
Y (0.000, 0.000, 0.000)
Tm (0.000, 0.500, 0.500)
Sb (0.500, 0.500, 0.000)

=====

## x
This record from Alexandria via LeMat-Bulk describes a geometry-optimized YTm2Sb structure. The functional is PBE.

Results
V   28.31 A^3/atom
Crystal system   tetragonal

Cell: 3.941 3.941 7.290 Å, 90.00 90.00 90.00°
Space group P4/mmm (No. 123)
One atom of each set of equivalent atoms:
Y (0.000, 0.000, 0.000)
Tm (0.500, 0.500, 0.276)
Sb (0.000, 0.000, 0.500)

=====

Winner for stability: x

=====

## w
This record from Alexandria via LeMat-Bulk describes a geometry-optimized YTm2Sb structure. The functional is PBE.

Results
V   31.98 A^3/atom
Crystal system   trigonal

Cell: 3.9694 3.9694 28.1244 Å, 90.00 90.00 120.00°
Space group R3m (No. 160, hexagonal axes)
One atom of each set of equivalent atoms:
Y (0.0000, 0.0000, 0.0000)
Tm (0.0000, 0.0000, 0.5673)
Tm (0.0000, 0.0000, 0.7649)
Sb (0.0000, 0.0000, 0.1655)

=====

## x
This record from Alexandria via LeMat-Bulk describes a geometry-optimized YTm2Sb structure. The functional is PBE.

Results
V   29.22 A^3/atom
Crystal system   orthorhombic

Cell: 4.115 12.098 9.391 Å, 90.00 90.00 90.00°
Space group Cmcm (No. 63)
One atom of each set of equivalent atoms:
Y (0.000, 0.057, 0.250)
Tm (0.000, 0.364, 0.048)
Sb (0.000, 0.242, 0.750)

=====

Winner for stability: x

=====

## w
This record from Alexandria via LeMat-Bulk describes a geometry-optimized Y3TmSb2 structure. The functional is PBE.

Results
V   31.89 A^3/atom
Crystal system   orthorhombic

Cell: 7.007 14.306 7.635 Å, 90.00 90.00 90.00°
Space group Ibam (No. 72)
One atom of each set of equivalent atoms:
Y (0.000, 0.000, 0.250)
Y (0.000, 0.293, 0.250)
Tm (0.000, 0.500, 0.000)
Sb (0.177, 0.146, 0.000)

=====

## x
This record from Alexandria via LeMat-Bulk describes a geometry-optimized Y3TmSb2 structure. The functional is PBE.

Results
V   28.11 A^3/atom
Crystal system   tetragonal

Cell: 4.468 4.468 8.447 Å, 90.00 90.00 90.00°
Space group P-4m2 (No. 115)
One atom of each set of equivalent atoms:
Y (0.000, 0.000, 0.000)
Y (0.000, 0.500, 0.649)
Tm (0.500, 0.500, 0.000)
Sb (0.000, 0.500, 0.279)

=====

Winner for stability: x

=====

## w
This record from Alexandria via LeMat-Bulk describes a geometry-optimized Y3TmSb3 structure. The functional is PBE.

Results
V   27.62 A^3/atom
Crystal system   cubic

Cell: 9.179 9.179 9.179 Å, 90.00 90.00 90.00°
Space group P2_13 (No. 198)
One atom of each set of equivalent atoms:
Y (0.071, 0.429, 0.571)
Y (0.177, 0.823, 0.323)
Y (0.178, 0.178, 0.178)
Tm (0.073, 0.573, 0.927)
Sb (0.001, 0.253, 0.874)

=====

## x
This record from Alexandria via LeMat-Bulk describes a geometry-optimized Y3TmSb3 structure. The functional is PBE.

Results
V   30.26 A^3/atom
Crystal system   trigonal

Cell: 8.9227 8.9227 18.4307 Å, 90.00 90.00 120.00°
Space group R-3 (No. 148, hexagonal axes)
One atom of each set of equivalent atoms:
Y (0.0029, 0.2620, 0.0847)
Tm (0.0000, 0.0000, 0.3335)
Sb (0.0040, 0.3903, 0.9187)

=====

Winner for stability: w

=====

## w
This record from Alexandria via LeMat-Bulk describes a geometry-optimized Tm4ZnSb structure. The functional is PBE.

Results
V   29.60 A^3/atom
Crystal system   monoclinic

Cell: 5.812 8.370 7.514 Å, 90.00 103.63 90.00°
Space group P2_1/m (No. 11)
One atom of each set of equivalent atoms:
Tm (0.012, 0.056, 0.236)
Tm (0.414, 0.750, 0.510)
Tm (0.420, 0.250, 0.998)
Zn (0.136, 0.750, 0.098)
Sb (0.123, 0.250, 0.591)

=====

## x
This record from Alexandria via LeMat-Bulk describes a geometry-optimized Tm4ZnSb structure. The functional is PBE.

Results
V   26.47 A^3/atom
Crystal system   cubic

Cell: 13.645 13.645 13.645 Å, 90.00 90.00 90.00°
Space group F-43m (No. 216)
One atom of each set of equivalent atoms:
Tm (0.000, 0.000, 0.186)
Tm (0.060, 0.250, 0.750)
Tm (0.129, 0.129, 0.371)
Zn (0.157, 0.157, 0.157)
Sb (0.097, 0.097, 0.597)

=====

Winner for stability: x